This record from Alexandria describes a relaxed Y2ZrSe crystal. The functional is PBE.

Unit cell a=7.0352 b=8.1761 c=3.4898 alpha=90.00 beta=90.00 gamma=90.00
Atoms (fractional coordinates):
Y1 0.2500 0.2500 0.0000
Y2 0.2500 0.7500 0.0000
Y3 0.7500 0.2500 0.0000
Y4 0.7500 0.7500 0.0000
Zr1 0.0000 0.0000 0.5000
Zr2 0.5000 0.5000 0.5000
Se1 0.0000 0.5000 0.5000
Se2 0.5000 0.0000 0.5000

Values from the calculation:
The calculation puts the theoretical density at 5.8 Mg/m³. As for the calculated volume: 200.7 Å³/cell. Its formation energy from raw total energies is -0.419 eV/atom. As for the magnetic moment: 0.000 μB per atom. Its space group is Cmmm. For the density of states at the Fermi level, the calculation gives 1.16 states/eV/atom.